No. 1
## Na3TlAg (GGA-PBE)

Data for crystalline Na3TlAg at its relaxed geometry.

Cell: 6.374 6.374 6.374 Å, 112.37 112.37 112.37°
Atoms (fractional coordinates):
Na (0.175, 0.175, 0.650)
Na (0.175, 0.650, 0.175)
Na (0.650, 0.175, 0.175)
Tl (0.041, 0.041, 0.041)
Ag (0.544, 0.544, 0.544)

## Properties
Offset from the most stable computed form (eV/atom): 0.140
Space-group type: No. 160

---

No. 2
## Na5Tl8Ag (GGA-PBE)

Data for crystalline Na5Tl8Ag at its relaxed geometry.

Cell: 8.094 8.094 8.094 Å, 111.25 111.25 105.97°
Atoms (fractional coordinates):
Na (0.000, 0.000, 0.000)
Na (0.054, 0.211, 0.614)
Na (0.560, 0.946, 0.157)
Na (0.597, 0.440, 0.386)
Na (0.789, 0.403, 0.843)
Tl (0.084, 0.666, 0.748)
Tl (0.262, 0.534, 0.111)
Tl (0.334, 0.082, 0.418)
Tl (0.423, 0.151, 0.889)
Tl (0.466, 0.577, 0.729)
Tl (0.664, 0.916, 0.582)
Tl (0.849, 0.738, 0.271)
Tl (0.918, 0.336, 0.252)
Ag (0.250, 0.750, 0.500)

## Properties
Space-group type: No. 82

---

No. 3
## Na2TlAg (GGA-PBE)

Data for crystalline Na2TlAg at its relaxed geometry.

Cell: 4.511 4.511 4.936 Å, 90.00 90.00 90.00°
Atoms (fractional coordinates):
Na (0.000, 0.500, 0.000)
Na (0.500, 0.000, 0.000)
Tl (0.000, 0.000, 0.500)
Ag (0.500, 0.500, 0.500)

## Properties
Space-group type: No. 123

---

No. 4
## NaTmTlAg (GGA-PBE)

Data for crystalline NaTmTlAg at its relaxed geometry.

Cell: 5.143 5.143 5.143 Å, 60.00 60.00 60.00°
Atoms (fractional coordinates):
Na (0.000, 0.000, 0.000)
Tm (0.500, 0.500, 0.500)
Tl (0.250, 0.250, 0.250)
Ag (0.750, 0.750, 0.750)

## Properties
Space-group type: No. 216

---

No. 5
## NaY2TlAg (GGA-PBE)

Data for crystalline NaY2TlAg at its relaxed geometry.

Cell: 5.537 5.537 5.039 Å, 90.00 90.00 90.00°
Atoms (fractional coordinates):
Na (0.000, 0.000, 0.000)
Y (0.000, 0.500, 0.000)
Y (0.500, 0.000, 0.000)
Tl (0.000, 0.000, 0.500)
Ag (0.500, 0.500, 0.500)

## Properties
Space-group type: No. 123

---

No. 6
## NaTlZnAg (GGA-PBE)

Data for crystalline NaTlZnAg at its relaxed geometry.

Cell: 4.932 4.932 4.932 Å, 60.00 60.00 60.00°
Atoms (fractional coordinates):
Na (0.000, 0.000, 0.000)
Tl (0.750, 0.750, 0.750)
Zn (0.500, 0.500, 0.500)
Ag (0.250, 0.250, 0.250)

## Properties
Space-group type: No. 216

---

No. 7
## Na2ZrTlAg (GGA-PBE)

Data for crystalline Na2ZrTlAg at its relaxed geometry.

Cell: 6.098 6.098 5.569 Å, 90.00 90.00 90.00°
Atoms (fractional coordinates):
Na (0.000, 0.500, 0.000)
Na (0.500, 0.000, 0.000)
Zr (0.000, 0.000, 0.000)
Tl (0.000, 0.000, 0.500)
Ag (0.500, 0.500, 0.500)

## Properties
Space-group type: No. 123

---

No. 8
## NaTm2Ag (GGA-PBE)

Data for crystalline NaTm2Ag at its relaxed geometry.

Cell: 3.519 3.519 9.338 Å, 90.00 90.00 90.00°
Atoms (fractional coordinates):
Na (0.000, 0.000, 0.000)
Tm (0.500, 0.500, 0.310)
Tm (0.500, 0.500, 0.690)
Ag (0.000, 0.000, 0.500)

## Properties
Offset from the most stable computed form (eV/atom): 0.000
Space-group type: No. 123

---

no.,calculated density (g/cm3),formation enthalpy at 0 K (eV per atom)
1,3.624,0.09
2,7.579,-0.04
3,5.923,-0.04
4,8.702,-0.13
5,5.516,0.76
6,7.842,0.04
7,3.604,1.11
8,6.732,0.03